Entry 1:
First-principles (GGA-PBE) data for crystalline La6Dy2HoSc at its relaxed geometry, as listed in the Alexandria database.

Values from the calculation:
* formation enthalpy at 0 K: 1.88 eV per formula unit
* total energy: -4.78 eV/atom

```
data_La6Dy2HoSc
_space_group_name_H-M_alt 'C 1 2/m 1'
_space_group_IT_number 12
_space_group_name_Hall '-C 2y'
_cell_length_a 11.4830
_cell_length_b 7.0966
_cell_length_c 8.8973
_cell_angle_alpha 90.00
_cell_angle_beta 107.01
_cell_angle_gamma 90.00
loop_
_atom_site_label
_atom_site_type_symbol
_atom_site_fract_x
_atom_site_fract_y
_atom_site_fract_z
La1 La 0.1340 0.0000 0.4264
La2 La 0.1773 0.2747 0.7938
Dy1 Dy 0.0872 0.5000 0.1790
Ho1 Ho 0.0000 0.0000 0.0000
Sc1 Sc 0.0000 0.5000 0.5000
```

Entry 2:
First-principles (GGA-PBE) data for crystalline LaDy2HoSe4 at its relaxed geometry, as listed in the Alexandria database.

Values from the calculation:
* total energy: -5.88 eV/atom
* raw formation energy: -1795 meV/atom

```
data_LaDy2HoSe4
_space_group_name_H-M_alt 'P 1 2/m 1'
_space_group_IT_number 10
_space_group_name_Hall '-P 2y'
_cell_length_a 7.1451
_cell_length_b 4.0746
_cell_length_c 7.2379
_cell_angle_alpha 90.00
_cell_angle_beta 108.76
_cell_angle_gamma 90.00
loop_
_atom_site_label
_atom_site_type_symbol
_atom_site_fract_x
_atom_site_fract_y
_atom_site_fract_z
La1 La 0.0000 0.0000 0.0000
Dy1 Dy 0.5000 0.0000 0.5000
Dy2 Dy 0.5000 0.5000 0.0000
Ho1 Ho 0.0000 0.5000 0.5000
Se1 Se 0.2545 0.0000 0.7425
Se2 Se 0.2618 0.5000 0.2634
```

Entry 3:
First-principles (GGA-PBE) data for crystalline LaDy4Ho3Se8 at its relaxed geometry, as listed in the Alexandria database.

Values from the calculation:
* total energy: -5.82 eV/atom
* raw formation energy: -1758 meV/atom

```
data_LaDy4Ho3Se8
_space_group_name_H-M_alt 'R -3 m'
_space_group_IT_number 166
_space_group_name_Hall '-R 3 2"'
_cell_length_a 8.2057
_cell_length_b 8.2057
_cell_length_c 20.0617
_cell_angle_alpha 90.00
_cell_angle_beta 90.00
_cell_angle_gamma 120.00
loop_
_atom_site_label
_atom_site_type_symbol
_atom_site_fract_x
_atom_site_fract_y
_atom_site_fract_z
La1 La 0.0000 0.0000 0.0000
Dy1 Dy 0.0000 0.0000 0.5000
Dy2 Dy 0.0000 0.5000 0.5000
Ho1 Ho 0.0000 0.5000 0.0000
Se1 Se 0.0000 0.0000 0.2507
Se2 Se 0.0091 0.5045 0.2484
```

Entry 4:
First-principles (GGA-PBE) data for crystalline La4Dy3HoSe8 at its relaxed geometry, as listed in the Alexandria database.

Values from the calculation:
* total energy: -6.00 eV/atom
* raw formation energy: -1876 meV/atom

```
data_La4Dy3HoSe8
_space_group_name_H-M_alt 'R -3 m'
_space_group_IT_number 166
_space_group_name_Hall '-R 3 2"'
_cell_length_a 8.3173
_cell_length_b 8.3173
_cell_length_c 20.8573
_cell_angle_alpha 90.00
_cell_angle_beta 90.00
_cell_angle_gamma 120.00
loop_
_atom_site_label
_atom_site_type_symbol
_atom_site_fract_x
_atom_site_fract_y
_atom_site_fract_z
La1 La 0.0000 0.0000 0.0000
La2 La 0.0000 0.5000 0.0000
Dy1 Dy 0.0000 0.5000 0.5000
Ho1 Ho 0.0000 0.0000 0.5000
Se1 Se 0.0000 0.0000 0.2435
Se2 Se 0.0009 0.5005 0.2433
```

Entry 5:
First-principles (GGA-PBE) data for crystalline La2DyHoSe4 at its relaxed geometry, as listed in the Alexandria database.

Values from the calculation:
* total energy: -6.00 eV/atom
* raw formation energy: -1875 meV/atom

```
data_La2DyHoSe4
_space_group_name_H-M_alt 'P 1 2/m 1'
_space_group_IT_number 10
_space_group_name_Hall '-P 2y'
_cell_length_a 7.1785
_cell_length_b 4.1182
_cell_length_c 7.4165
_cell_angle_alpha 90.00
_cell_angle_beta 108.64
_cell_angle_gamma 90.00
loop_
_atom_site_label
_atom_site_type_symbol
_atom_site_fract_x
_atom_site_fract_y
_atom_site_fract_z
La1 La 0.0000 0.0000 0.0000
La2 La 0.5000 0.5000 0.0000
Dy1 Dy 0.0000 0.5000 0.5000
Ho1 Ho 0.5000 0.0000 0.5000
Se1 Se 0.2440 0.0000 0.7298
Se2 Se 0.2580 0.5000 0.2708
```

Entry 6:
First-principles (GGA-PBE) data for crystalline LaDyHo2Se6 at its relaxed geometry, as listed in the Alexandria database.

Values from the calculation:
* total energy: -5.84 eV/atom
* raw formation energy: -1879 meV/atom

```
data_LaDyHo2Se6
_space_group_name_H-M_alt 'R 3'
_space_group_IT_number 146
_space_group_name_Hall 'R 3'
_cell_length_a 7.3052
_cell_length_b 7.3052
_cell_length_c 19.4492
_cell_angle_alpha 90.00
_cell_angle_beta 90.00
_cell_angle_gamma 120.00
loop_
_atom_site_label
_atom_site_type_symbol
_atom_site_fract_x
_atom_site_fract_y
_atom_site_fract_z
La1 La 0.0000 0.0000 0.0000
Dy1 Dy 0.0000 0.0000 0.4922
Ho1 Ho 0.0000 0.0000 0.2938
Ho2 Ho 0.0000 0.0000 0.7982
Se1 Se 0.0053 0.3102 0.8920
Se2 Se 0.0237 0.6374 0.0589
```

N(E_F) per entry: 1.83; 0.62; 0.66; 0.64; 0.60; 0.00 states/eV/atom